Entry 1:
The following is a DFT calculation (PBE) of a relaxed TiTe2W2Se4 crystal.

a = 3.3925 Å, b = 3.3925 Å, c = 22.6521 Å
α = 90.00°, β = 90.00°, γ = 120.00°
Fractional coordinates of all 9 atoms:
Ti1 0.0000 0.0000 0.0000
Te1 0.6667 0.3333 0.0863
Te2 0.6667 0.3333 0.9136
W1 0.0000 0.0000 0.6436
W2 0.6667 0.3333 0.3297
Se1 0.0000 0.0000 0.2565
Se2 0.0000 0.0000 0.4028
Se3 0.6667 0.3333 0.5705
Se4 0.6667 0.3333 0.7167

Computed properties:
Space group ... No. 156
Calculated volume ... 25.1 Å³/atom
Formation energy (no corrections) ... -515 meV/atom
DFT total energy ... -6.52 eV per atom

=====

Entry 2:
The following is a DFT calculation (PBE) of a relaxed Mg2TaAg crystal.

a = 2.8543 Å, b = 4.5855 Å, c = 5.9590 Å
α = 90.00°, β = 103.64°, γ = 90.00°
Fractional coordinates of all 4 atoms:
Mg1 0.0000 0.0000 0.0000
Mg2 0.4616 0.5000 0.7477
Ta1 0.5808 0.5000 0.2622
Ag1 0.1113 0.0000 0.4930

Computed properties:
Distance to the lowest polymorph of the same formula ... 0.195 eV/atom
Space group ... No. 6
Calculated volume ... 18.9 Å³/atom
Energy relative to the elements ... 254.9 meV per atom
DFT total energy ... -4.22 eV per atom

=====

Entry 3:
The following is a DFT calculation (PBE) of a relaxed Pb3WCl crystal.

a = 5.4216 Å, b = 5.4216 Å, c = 5.4216 Å
α = 90.00°, β = 90.00°, γ = 90.00°
Fractional coordinates of all 5 atoms:
Pb1 0.0000 0.0000 0.5000
Pb2 0.0000 0.5000 0.0000
Pb3 0.5000 0.0000 0.0000
W1 0.5000 0.5000 0.5000
Cl1 0.0000 0.0000 0.0000

Computed properties:
Distance to the lowest polymorph of the same formula ... 1.058 eV/atom
Space group ... No. 221
Calculated volume ... 31.9 Å³/atom
Formation energy (no corrections) ... 1307 meV/atom
DFT total energy ... -3.88 eV per atom

=====

Entry 4:
The following is a DFT calculation (PBE) of a relaxed PuScNb crystal.

a = 5.5678 Å, b = 5.5678 Å, c = 5.5678 Å
α = 142.09°, β = 142.09°, γ = 54.69°
Fractional coordinates of all 3 atoms:
Pu1 0.0000 0.0000 0.0000
Sc1 0.3140 0.3140 0.0000
Nb1 0.6469 0.6469 0.0000

Computed properties:
Distance to the lowest polymorph of the same formula ... 0.120 eV/atom
Space group ... No. 107
Calculated volume ... 21.6 Å³/atom
Energy relative to the elements ... 245.8 meV per atom
DFT total energy ... -10.00 eV per atom

=====

Entry 5:
The following is a DFT calculation (PBE) of a relaxed MgRhAu2 crystal.

a = 5.0256 Å, b = 5.0256 Å, c = 4.5672 Å
α = 105.70°, β = 105.70°, γ = 37.75°
Fractional coordinates of all 4 atoms:
Mg1 0.0000 0.0000 0.0000
Rh1 0.5000 0.5000 0.5000
Au1 0.2496 0.2496 0.7488
Au2 0.7504 0.7504 0.2512

Computed properties:
Space group ... No. 12
Calculated volume ... 16.9 Å³/atom
Energy relative to the elements ... -220.2 meV per atom
DFT total energy ... -4.10 eV per atom

=====

Entry 6:
The following is a DFT calculation (PBE) of a relaxed Nd3Ho8Er crystal.

a = 8.3743 Å, b = 8.3743 Å, c = 8.3743 Å
α = 117.12°, β = 117.12°, γ = 95.06°
Fractional coordinates of all 12 atoms:
Nd1 0.0000 0.0000 0.0000
Nd2 0.2500 0.7500 0.5000
Nd3 0.7500 0.2500 0.5000
Ho1 0.1290 0.1290 0.7485
Ho2 0.2448 0.7334 0.0000
Ho3 0.2666 0.2666 0.5114
Ho4 0.3805 0.3805 0.2515
Ho5 0.6195 0.8710 0.0000
Ho6 0.7334 0.2448 0.0000
Ho7 0.7552 0.7552 0.4886
Ho8 0.8710 0.6195 0.0000
Er1 0.5000 0.5000 0.0000

Computed properties:
Space group ... No. 121
Calculated volume ... 36.0 Å³/atom
Energy relative to the elements ... 629.0 meV per atom
DFT total energy ... -4.00 eV per atom

=====

Entry 7:
The following is a DFT calculation (PBE) of a relaxed Nd2Y9Th crystal.

a = 5.0766 Å, b = 5.0766 Å, c = 15.2606 Å
α = 90.00°, β = 90.00°, γ = 90.00°
Fractional coordinates of all 12 atoms:
Nd1 0.0000 0.0000 0.1676
Nd2 0.0000 0.0000 0.8324
Y1 0.0000 0.5000 0.0000
Y2 0.0000 0.5000 0.3369
Y3 0.0000 0.5000 0.6631
Y4 0.5000 0.0000 0.0000
Y5 0.5000 0.0000 0.3369
Y6 0.5000 0.0000 0.6631
Y7 0.5000 0.5000 0.1668
Y8 0.5000 0.5000 0.5000
Y9 0.5000 0.5000 0.8332
Th1 0.0000 0.0000 0.5000

Computed properties:
Space group ... No. 123
Calculated volume ... 32.8 Å³/atom
Energy relative to the elements ... 27.8 meV per atom
DFT total energy ... -6.23 eV per atom

=====

Entry 8:
The following is a DFT calculation (PBE) of a relaxed RbTa crystal.

a = 14.0575 Å, b = 14.0575 Å, c = 3.0433 Å
α = 90.00°, β = 90.00°, γ = 120.00°
Fractional coordinates of all 12 atoms:
Rb1 0.0518 0.6820 0.2500
Rb2 0.3180 0.3698 0.2500
Rb3 0.3698 0.0518 0.7500
Rb4 0.6302 0.9482 0.2500
Rb5 0.6820 0.6302 0.7500
Rb6 0.9482 0.3180 0.7500
Ta1 0.2251 0.5622 0.7500
Ta2 0.3371 0.7749 0.7500
Ta3 0.4378 0.6629 0.7500
Ta4 0.5622 0.3371 0.2500
Ta5 0.6629 0.2251 0.2500
Ta6 0.7749 0.4378 0.2500

Computed properties:
Distance to the lowest polymorph of the same formula ... 0.531 eV/atom
Space group ... No. 176
Calculated volume ... 43.4 Å³/atom
Energy relative to the elements ... 1322.7 meV per atom
DFT total energy ... -5.09 eV per atom

=====

Entry 9:
The following is a DFT calculation (PBE) of a relaxed RbRu3Cl crystal.

a = 5.0286 Å, b = 5.0286 Å, c = 5.0286 Å
α = 90.00°, β = 90.00°, γ = 90.00°
Fractional coordinates of all 5 atoms:
Rb1 0.0000 0.0000 0.0000
Ru1 0.0000 0.0000 0.5000
Ru2 0.0000 0.5000 0.0000
Ru3 0.5000 0.0000 0.0000
Cl1 0.5000 0.5000 0.5000

Computed properties:
Distance to the lowest polymorph of the same formula ... 1.535 eV/atom
Space group ... No. 221
Calculated volume ... 25.4 Å³/atom
Formation energy (no corrections) ... 3014 meV/atom
DFT total energy ... -3.11 eV per atom

=====

Entry 10:
The following is a DFT calculation (PBE) of a relaxed Ce2SmCd crystal.

a = 3.3323 Å, b = 3.3323 Å, c = 10.2870 Å
α = 90.00°, β = 90.00°, γ = 90.00°
Fractional coordinates of all 4 atoms:
Ce1 0.0000 0.0000 0.2343
Ce2 0.0000 0.0000 0.7657
Sm1 0.5000 0.5000 0.5000
Cd1 0.5000 0.5000 0.0000

Computed properties:
Distance to the lowest polymorph of the same formula ... 0.024 eV/atom
Space group ... No. 123
Calculated volume ... 28.6 Å³/atom
Energy relative to the elements ... 5.9 meV per atom
DFT total energy ... -4.37 eV per atom

=====

Entry 11:
The following is a DFT calculation (PBE) of a relaxed Ba4CdCu crystal.

a = 4.1697 Å, b = 4.1697 Å, c = 15.1632 Å
α = 90.00°, β = 90.00°, γ = 90.00°
Fractional coordinates of all 6 atoms:
Ba1 0.0000 0.0000 0.1224
Ba2 0.0000 0.0000 0.8776
Ba3 0.5000 0.5000 0.3619
Ba4 0.5000 0.5000 0.6381
Cd1 0.0000 0.0000 0.5000
Cu1 0.5000 0.5000 0.0000

Computed properties:
Distance to the lowest polymorph of the same formula ... 0.000 eV/atom
Space group ... No. 123
Calculated volume ... 43.9 Å³/atom
Energy relative to the elements ... -88.7 meV per atom
DFT total energy ... -2.21 eV per atom

=====

Entry 12:
The following is a DFT calculation (PBE) of a relaxed Tb6YEr5 crystal.

a = 6.1297 Å, b = 6.1297 Å, c = 11.7094 Å
α = 94.99°, β = 94.99°, γ = 119.95°
Fractional coordinates of all 12 atoms:
Tb1 0.0826 0.4168 0.7494
Tb2 0.2489 0.2489 0.2506
Tb3 0.4168 0.0826 0.7494
Tb4 0.5832 0.9174 0.2506
Tb5 0.7511 0.7511 0.7494
Tb6 0.9174 0.5832 0.2506
Y1 0.5000 0.5000 0.0000
Er1 0.0000 0.0000 0.5000
Er2 0.1667 0.8333 0.0000
Er3 0.3333 0.6667 0.5000
Er4 0.6667 0.3333 0.5000
Er5 0.8333 0.1667 0.0000

Computed properties:
Space group ... No. 12
Calculated volume ... 31.3 Å³/atom
Energy relative to the elements ... 18.2 meV per atom
DFT total energy ... -4.74 eV per atom